MnOsRu2 | PBE | relaxed

Computed properties:
Total magnetic moment in μB/atom: 0.303
Space-group type: I-4m2
Formation enthalpy at 0 K in kJ/mol of formula units: 32
V in Å³/cell: 54.1
Electronic total energy in eV/atom: -9.655
N(E_F) in states/eV per atom: 0.969
Offset from the most stable computed form in eV/atom: 0.0052

Lattice parameters (Å, degrees): 4.6356 4.6356 4.6356 131.86 131.86 70.45
Last column: nearest neighbours and their distance in Å.
Sites, in units of the cell vectors:
Ru: 0.0000 0.0000 0.0000  4 Mn 2.67, 4 Ru 2.68, 4 Os 2.68
Os: 0.7500 0.2500 0.5000  8 Ru 2.67-2.68, 4 Mn 2.68
Mn: 0.5000 0.5000 0.0000  8 Ru 2.67-2.68, 4 Os 2.68
Ru: 0.2500 0.7500 0.5000  4 Os 2.67, 4 Mn 2.68, 4 Ru 2.68

InCu4Pd | PBE | relaxed

Computed properties:
Total magnetic moment in μB/atom: 0.000
Space-group type: F-43m
Formation enthalpy at 0 K in kJ/mol of formula units: -40
V in Å³/cell: 84.3
Electronic total energy in eV/atom: -4.121
N(E_F) in states/eV per atom: 0.543

Lattice parameters (Å, degrees): 4.9209 4.9209 4.9209 60.00 60.00 60.00
Last column: nearest neighbours and their distance in Å.
Sites, in units of the cell vectors:
Cu: 0.1258 0.6247 0.6247  6 Cu 2.46-2.47
Cu: 0.6247 0.1258 0.6247  6 Cu 2.46-2.47
Cu: 0.6247 0.6247 0.6247  6 Cu 2.46-2.47
In: 0.0000 0.0000 0.0000  12 Cu 2.89, 4 Pd 3.01
Pd: 0.2500 0.2500 0.2500  12 Cu 2.88, 4 In 3.01
Cu: 0.6247 0.6247 0.1258  6 Cu 2.46-2.47

LiNdPtAu | PBE | relaxed

Computed properties:
Total magnetic moment in μB/atom: 0.000
Space-group type: Cm
Formation enthalpy at 0 K in kJ/mol of formula units: -306
V in Å³/cell: 83.3
Electronic total energy in eV/atom: -4.793
N(E_F) in states/eV per atom: 0.393
Offset from the most stable computed form in eV/atom: 0.0000

Lattice parameters (Å, degrees): 4.4527 5.5097 5.4931 132.36 113.91 90.00
Last column: nearest neighbours and their distance in Å.
Sites, in units of the cell vectors:
Li: 0.2547 0.7450 0.5093  3 Pt 2.65, 3 Au 2.68-2.69
Pt: 0.9654 0.0341 0.9307  3 Li 2.65, 3 Au 2.93-2.95
Au: 0.5342 0.4669 0.0683  3 Li 2.68-2.69, 3 Pt 2.93-2.95
Nd: 0.7458 0.2540 0.4916  4 Pt 3.05-3.20, 4 Au 3.09-3.12